(1)
TbGaCuAu: relaxed, GGA-PBE.

Summary:
DOS(E_F): 8.699 states/eV per cell

abc: 6.690 6.690 6.690
angles: 90.00 90.00 90.00
Space group F-43m (No. 216)
Unique sites:
Tb 0.000 0.000 0.000 (multiplicity 4)
Ga 0.000 0.000 0.500 (multiplicity 4)
Cu 0.250 0.250 0.750 (multiplicity 4)
Au 0.250 0.250 0.250 (multiplicity 4)

(2)
Tb2Ga4Cu3Au: relaxed, GGA-PBE.

Summary:
DOS(E_F): 4.963 states/eV per cell

abc: 4.186 4.186 10.256
angles: 90.00 90.00 90.00
Space group P-4m2 (No. 115)
Unique sites:
Tb 0.000 0.500 0.246 (multiplicity 2)
Ga 0.000 0.000 0.000 (multiplicity 1)
Ga 0.000 0.500 0.643 (multiplicity 2)
Ga 0.500 0.500 0.000 (multiplicity 1)
Cu 0.000 0.500 0.872 (multiplicity 2)
Cu 0.500 0.500 0.500 (multiplicity 1)
Au 0.000 0.000 0.500 (multiplicity 1)

(3)
TbGa3CuAu: relaxed, GGA-PBE.

Summary:
DOS(E_F): 7.078 states/eV per cell

abc: 5.592 13.511 6.018
angles: 90.00 90.00 90.00
Space group Cmcm (No. 63)
Unique sites:
Tb 0.000 0.197 0.250 (multiplicity 4)
Ga 0.000 0.372 0.750 (multiplicity 4)
Ga 0.223 0.000 0.000 (multiplicity 8)
Cu 0.000 0.402 0.250 (multiplicity 4)
Au 0.000 0.169 0.750 (multiplicity 4)

(4)
Tb2Ga3Cu4Au: relaxed, GGA-PBE.

Summary:
DOS(E_F): 3.914 states/eV per cell

abc: 4.038 4.038 10.831
angles: 90.00 90.00 90.00
Space group P-4m2 (No. 115)
Unique sites:
Tb 0.000 0.500 0.246 (multiplicity 2)
Ga 0.000 0.500 0.871 (multiplicity 2)
Ga 0.500 0.500 0.500 (multiplicity 1)
Cu 0.000 0.000 0.000 (multiplicity 1)
Cu 0.000 0.500 0.651 (multiplicity 2)
Cu 0.500 0.500 0.000 (multiplicity 1)
Au 0.000 0.000 0.500 (multiplicity 1)

(5)
Tb2Ga4CuAu3: relaxed, GGA-PBE.

Summary:
DOS(E_F): 4.890 states/eV per cell

abc: 4.214 4.214 11.005
angles: 90.00 90.00 90.00
Space group P-4m2 (No. 115)
Unique sites:
Tb 0.000 0.500 0.239 (multiplicity 2)
Ga 0.000 0.000 0.500 (multiplicity 1)
Ga 0.000 0.500 0.871 (multiplicity 2)
Ga 0.500 0.500 0.500 (multiplicity 1)
Cu 0.500 0.500 0.000 (multiplicity 1)
Au 0.000 0.000 0.000 (multiplicity 1)
Au 0.000 0.500 0.643 (multiplicity 2)

(6)
Tb2Ga3CuAu4: relaxed, GGA-PBE.

Summary:
DOS(E_F): 5.827 states/eV per cell

abc: 4.299 4.299 10.804
angles: 90.00 90.00 90.00
Space group P-4m2 (No. 115)
Unique sites:
Tb 0.000 0.500 0.246 (multiplicity 2)
Ga 0.000 0.000 0.000 (multiplicity 1)
Ga 0.000 0.500 0.635 (multiplicity 2)
Cu 0.500 0.500 0.000 (multiplicity 1)
Au 0.000 0.000 0.500 (multiplicity 1)
Au 0.000 0.500 0.864 (multiplicity 2)
Au 0.500 0.500 0.500 (multiplicity 1)

Number 1: formation energy from the elements -46 kJ per mole of atoms, total magnetic moment 0.0 μB per cell. Number 2: formation energy from the elements -46 kJ per mole of atoms, total magnetic moment 0.0 μB per cell. Number 3: formation energy from the elements -24 kJ per mole of atoms, total magnetic moment 0.0 μB per cell. Number 4: formation energy from the elements -40 kJ per mole of atoms, total magnetic moment 0.0 μB per cell. Number 5: formation energy from the elements -55 kJ per mole of atoms, total magnetic moment 0.0 μB per cell. Number 6: formation energy from the elements -51 kJ per mole of atoms, total magnetic moment 0.0 μB per cell.